Record 1
## NiMo2Au (PBE)

Data for NiMo2Au after structural relaxation.

## Properties
The electronic total energy is -28.5 eV per cell.

Unit cell a=4.4360 b=4.4360 c=4.4360 alpha=60.00 beta=60.00 gamma=60.00
Atoms (fractional coordinates):
Ni1 0.0000 0.0000 0.0000
Mo1 0.2500 0.2500 0.2500
Mo2 0.7500 0.7500 0.7500
Au1 0.5000 0.5000 0.5000

=====

Record 2
## ZnCoIr2 (PBE)

Data for ZnCoIr2 after structural relaxation.

## Properties
The electronic total energy is -25.9 eV per cell.

Unit cell a=4.5581 b=4.5581 c=2.7111 alpha=90.00 beta=90.00 gamma=106.89
Atoms (fractional coordinates):
Zn1 0.0000 0.0000 0.0000
Co1 0.5000 0.5000 0.0000
Ir1 0.0000 0.5000 0.5000
Ir2 0.5000 0.0000 0.5000

=====

Record 3
## Sc6CoRu (PBE)

Data for Sc6CoRu after structural relaxation.

## Properties
The electronic total energy is -56.2 eV per cell.

Unit cell a=8.6038 b=8.6038 c=8.6038 alpha=149.40 beta=149.40 gamma=43.82
Atoms (fractional coordinates):
Sc1 0.0959 0.5959 0.5000
Sc2 0.2487 0.2487 0.0000
Sc3 0.4041 0.9041 0.5000
Sc4 0.5959 0.0959 0.5000
Sc5 0.7513 0.7513 0.0000
Sc6 0.9041 0.4041 0.5000
Co1 0.5000 0.5000 0.0000
Ru1 0.0000 0.0000 0.0000

=====

Record 4
## PuUGaOs (PBE)

Data for PuUGaOs after structural relaxation.

## Properties
The electronic total energy is -40.5 eV per cell.

Unit cell a=4.7291 b=4.7291 c=4.7291 alpha=60.00 beta=60.00 gamma=60.00
Atoms (fractional coordinates):
Pu1 0.0000 0.0000 0.0000
U1 0.7500 0.7500 0.7500
Ga1 0.2500 0.2500 0.2500
Os1 0.5000 0.5000 0.5000

=====

Record 5
## BiS2BrCl (PBE)

Data for BiS2BrCl after structural relaxation.

## Properties
For the formation energy without anion corrections, the calculation gives 654 meV/atom.

Unit cell a=5.0497 b=5.0497 c=4.9251 alpha=90.00 beta=90.00 gamma=90.00
Atoms (fractional coordinates):
Bi1 0.0000 0.0000 0.0000
S1 0.0000 0.5000 0.5000
S2 0.5000 0.0000 0.5000
Br1 0.5000 0.5000 0.5000
Cl1 0.5000 0.5000 0.0000

=====

Record 6
## K4Tm3UTe8 (PBE)

Data for K4Tm3UTe8 after structural relaxation.

## Properties
For the formation energy without anion corrections, the calculation gives -1227 meV/atom.

Unit cell a=9.7299 b=9.7299 c=9.7299 alpha=54.77 beta=54.77 gamma=54.77
Atoms (fractional coordinates):
K1 0.0000 0.0000 0.0000
K2 0.0000 0.5000 0.5000
K3 0.5000 0.0000 0.5000
K4 0.5000 0.5000 0.0000
Tm1 0.0000 0.0000 0.5000
Tm2 0.0000 0.5000 0.0000
Tm3 0.5000 0.0000 0.0000
U1 0.5000 0.5000 0.5000
Te1 0.2298 0.7392 0.7392
Te2 0.2351 0.2351 0.2351
Te3 0.2608 0.2608 0.7702
Te4 0.2608 0.7702 0.2608
Te5 0.7392 0.2298 0.7392
Te6 0.7392 0.7392 0.2298
Te7 0.7649 0.7649 0.7649
Te8 0.7702 0.2608 0.2608

=====

Record 7
## LaNdSm4 (PBE)

Data for LaNdSm4 after structural relaxation.

## Properties
The electronic total energy is -28.5 eV per cell.

Unit cell a=8.1876 b=8.1876 c=5.1760 alpha=90.00 beta=90.00 gamma=143.05
Atoms (fractional coordinates):
La1 0.0000 0.0000 0.0000
Nd1 0.5000 0.5000 0.5000
Sm1 0.1677 0.8323 0.5000
Sm2 0.3315 0.6685 0.0000
Sm3 0.6685 0.3315 0.0000
Sm4 0.8323 0.1677 0.5000

=====

Record 8
## MgCd2Pd2 (PBE)

Data for MgCd2Pd2 after structural relaxation.

## Properties
The electronic total energy is -31.8 eV per cell.

Unit cell a=5.1422 b=5.1422 c=9.4767 alpha=91.91 beta=91.91 gamma=45.27
Atoms (fractional coordinates):
Mg1 0.2386 0.2386 0.2322
Mg2 0.7614 0.7614 0.7678
Cd1 0.0537 0.0537 0.8559
Cd2 0.1471 0.1471 0.5497
Cd3 0.8529 0.8529 0.4503
Cd4 0.9463 0.9463 0.1441
Pd1 0.3505 0.3505 0.9459
Pd2 0.4496 0.4496 0.6531
Pd3 0.5504 0.5504 0.3469
Pd4 0.6495 0.6495 0.0541

=====

Record 9
## Hf3InPb (PBE)

Data for Hf3InPb after structural relaxation.

## Properties
The electronic total energy is -31.2 eV per cell.

Unit cell a=5.2354 b=5.2354 c=5.2354 alpha=90.00 beta=90.00 gamma=90.00
Atoms (fractional coordinates):
Hf1 0.0000 0.0000 0.5000
Hf2 0.0000 0.5000 0.0000
Hf3 0.5000 0.0000 0.0000
In1 0.0000 0.0000 0.0000
Pb1 0.5000 0.5000 0.5000

=====

Record 10
## NaLi2MgSb (PBE)

Data for NaLi2MgSb after structural relaxation.

## Properties
For the formation energy without anion corrections, the calculation gives 259 meV/atom.

Unit cell a=4.8836 b=4.8836 c=5.4034 alpha=90.00 beta=90.00 gamma=90.00
Atoms (fractional coordinates):
Na1 0.0000 0.0000 0.0000
Li1 0.0000 0.5000 0.0000
Li2 0.5000 0.0000 0.0000
Mg1 0.5000 0.5000 0.5000
Sb1 0.0000 0.0000 0.5000

=====

Record 11
## SbIr2W (PBE)

Data for SbIr2W after structural relaxation.

## Properties
For the formation energy without anion corrections, the calculation gives 273 meV/atom.

Unit cell a=4.9030 b=4.9030 c=4.9030 alpha=131.25 beta=131.25 gamma=71.42
Atoms (fractional coordinates):
Sb1 0.0000 0.0000 0.0000
Ir1 0.5000 0.5000 0.0000
Ir2 0.7500 0.2500 0.5000
W1 0.2500 0.7500 0.5000

=====

Record 12
## CaPr4Pa3N8 (PBE)

Data for CaPr4Pa3N8 after structural relaxation.

## Properties
For the formation energy without anion corrections, the calculation gives -1491 meV/atom.

Unit cell a=7.2182 b=7.2182 c=7.2182 alpha=59.39 beta=59.39 gamma=59.39
Atoms (fractional coordinates):
Ca1 0.0000 0.0000 0.0000
Pr1 0.0000 0.0000 0.5000
Pr2 0.0000 0.5000 0.0000
Pr3 0.5000 0.0000 0.0000
Pr4 0.5000 0.5000 0.5000
Pa1 0.0000 0.5000 0.5000
Pa2 0.5000 0.0000 0.5000
Pa3 0.5000 0.5000 0.0000
N1 0.2484 0.2484 0.7172
N2 0.2484 0.7172 0.2484
N3 0.2640 0.2640 0.2640
N4 0.2828 0.7516 0.7516
N5 0.7172 0.2484 0.2484
N6 0.7360 0.7360 0.7360
N7 0.7516 0.2828 0.7516
N8 0.7516 0.7516 0.2828

=====

Record 13
## UCuAu (PBE)

Data for UCuAu after structural relaxation.

## Properties
The electronic total energy is -37.1 eV per cell.

Unit cell a=3.4146 b=3.4146 c=8.9628 alpha=90.00 beta=90.00 gamma=90.00
Atoms (fractional coordinates):
U1 0.2500 0.2500 0.0658
U2 0.7500 0.7500 0.9342
Cu1 0.2500 0.2500 0.7279
Cu2 0.7500 0.7500 0.2721
Au1 0.2500 0.2500 0.4086
Au2 0.7500 0.7500 0.5914

=====

Record 14
## Zr2SbTe (PBE)

Data for Zr2SbTe after structural relaxation.

## Properties
For the formation energy without anion corrections, the calculation gives -570 meV/atom.

Unit cell a=3.8697 b=5.6556 c=4.5279 alpha=90.00 beta=90.00 gamma=90.00
Atoms (fractional coordinates):
Zr1 0.0000 0.0000 0.0000
Zr2 0.5000 0.5000 0.2968
Sb1 0.0000 0.5000 0.8130
Te1 0.5000 0.0000 0.4851

=====

Record 15
## SrAcInSi (PBE)

Data for SrAcInSi after structural relaxation.

## Properties
For the formation energy without anion corrections, the calculation gives -285 meV/atom.

Unit cell a=5.5974 b=5.5974 c=5.5974 alpha=60.00 beta=60.00 gamma=60.00
Atoms (fractional coordinates):
Sr1 0.0000 0.0000 0.0000
Ac1 0.5000 0.5000 0.5000
In1 0.7500 0.7500 0.7500
Si1 0.2500 0.2500 0.2500

=====

Record 16
## Ba2SbAs (PBE)

Data for Ba2SbAs after structural relaxation.

## Properties
For the formation energy without anion corrections, the calculation gives -766 meV/atom.

Unit cell a=5.8781 b=5.8781 c=5.8781 alpha=60.00 beta=60.00 gamma=60.00
Atoms (fractional coordinates):
Ba1 0.2500 0.2500 0.2500
Ba2 0.7500 0.7500 0.7500
Sb1 0.0000 0.0000 0.0000
As1 0.5000 0.5000 0.5000

=====

Record 17
## CsTiZnOF5 (PBE)

Data for CsTiZnOF5 after structural relaxation.

## Properties
For the formation energy without anion corrections, the calculation gives -2899 meV/atom.

Unit cell a=7.4732 b=7.4732 c=7.4732 alpha=121.52 beta=120.17 gamma=88.54
Atoms (fractional coordinates):
Cs1 0.3670 0.1170 0.2500
Cs2 0.6330 0.8830 0.7500
Ti1 0.0000 0.0000 0.5000
Ti2 0.0000 0.5000 0.0000
Zn1 0.0000 0.5000 0.5000
Zn2 0.5000 0.5000 0.0000
O1 0.0365 0.7865 0.2500
O2 0.9635 0.2135 0.7500
F1 0.0601 0.4108 0.2239
F2 0.0601 0.8363 0.6493
F3 0.3131 0.1637 0.7239
F4 0.3131 0.5892 0.1493
F5 0.3219 0.5719 0.7500
F6 0.6781 0.4281 0.2500
F7 0.6869 0.4108 0.8507
F8 0.6869 0.8363 0.2761
F9 0.9399 0.1637 0.3507
F10 0.9399 0.5892 0.7761

=====

Record 18
## PmDy3Ag4 (PBE)

Data for PmDy3Ag4 after structural relaxation.

## Properties
The electronic total energy is -32.4 eV per cell.

Unit cell a=5.1818 b=5.1818 c=7.3077 alpha=90.00 beta=90.00 gamma=90.00
Atoms (fractional coordinates):
Pm1 0.0000 0.0000 0.0000
Dy1 0.0000 0.0000 0.5000
Dy2 0.5000 0.5000 0.0000
Dy3 0.5000 0.5000 0.5000
Ag1 0.0000 0.5000 0.2574
Ag2 0.0000 0.5000 0.7426
Ag3 0.5000 0.0000 0.2574
Ag4 0.5000 0.0000 0.7426

=====

Record 19
## HfSc2PdO (PBE)

Data for HfSc2PdO after structural relaxation.

## Properties
For the formation energy without anion corrections, the calculation gives -1419 meV/atom.

Unit cell a=4.3361 b=4.3361 c=4.4031 alpha=90.00 beta=90.00 gamma=90.00
Atoms (fractional coordinates):
Hf1 0.0000 0.0000 0.0000
Sc1 0.0000 0.5000 0.5000
Sc2 0.5000 0.0000 0.5000
Pd1 0.5000 0.5000 0.0000
O1 0.0000 0.0000 0.5000

=====

Record 20
## ZrOsC2 (PBE)

Data for ZrOsC2 after structural relaxation.

## Properties
The electronic total energy is -74.5 eV per cell.

Unit cell a=6.0868 b=6.0868 c=6.0868 alpha=134.44 beta=134.44 gamma=66.40
Atoms (fractional coordinates):
Zr1 0.0000 0.0000 0.0000
Zr2 0.7500 0.2500 0.5000
Os1 0.2500 0.7500 0.5000
Os2 0.5000 0.5000 0.0000
C1 0.1772 0.6250 0.0522
C2 0.3750 0.4272 0.5522
C3 0.5728 0.1250 0.9478
C4 0.8750 0.8228 0.4478